Material: Sm6CoPt2I3
Method: DFT, GGA-PBE
State: optimized geometry

a b c (Å): 7.2279 7.2279 8.3433
angles (deg): 98.29 98.29 120.01
Closest atoms and distances in Å follow each position.
Fractional coordinates of all 12 atoms:
Sm 0.0608 0.3769 0.1827  1 Co 2.71, 2 Pt 2.87
Sm 0.2547 0.2547 0.8163  1 Co 2.71, 2 Pt 2.88
Sm 0.3769 0.0608 0.1827  1 Co 2.71, 2 Pt 2.87
Sm 0.6231 0.9392 0.8173  1 Co 2.71, 2 Pt 2.87
Sm 0.7453 0.7453 0.1837  1 Co 2.71, 2 Pt 2.88
Sm 0.9392 0.6231 0.8173  1 Co 2.71, 2 Pt 2.87
Co 0.0000 0.0000 0.0000  6 Sm 2.71
Pt 0.3335 0.6665 0.0000  6 Sm 2.87-2.88
Pt 0.6665 0.3335 0.0000  6 Sm 2.87-2.88
I 0.1663 0.8337 0.5000  6 Sm 3.45-3.59
I 0.5000 0.5000 0.5000  6 Sm 3.46-3.58
I 0.8337 0.1663 0.5000  6 Sm 3.45-3.59

Computed properties:
ρ = 8.0 g/cm3
Energy relative to the elements, uncorrected = -955 meV/atom
Magnetization = 0.00 Bohr magnetons per cell

=====

Material: KRuC2
Method: DFT, GGA-PBE
State: optimized geometry

a b c (Å): 4.1089 4.1089 4.1089
angles (deg): 60.00 60.00 60.00
Closest atoms and distances in Å follow each position.
Fractional coordinates of all 4 atoms:
K 0.0000 0.0000 0.0000  8 C 2.52
Ru 0.5000 0.5000 0.5000  8 C 2.52
C 0.2500 0.2500 0.2500  4 K 2.52, 4 Ru 2.52
C 0.7500 0.7500 0.7500  4 K 2.52, 4 Ru 2.52

Computed properties:
Formation enthalpy at 0 K = 2.490 eV per atom
E above lowest polymorph = 1.8262 eV/atom
ρ = 5.6 g/cm3
Magnetization = 0.00 Bohr magnetons per cell

=====

Material: ThSbPd6
Method: DFT, GGA-PBE
State: optimized geometry

a b c (Å): 7.5877 7.5877 7.5877
angles (deg): 42.36 42.36 42.36
Closest atoms and distances in Å follow each position.
Fractional coordinates of all 8 atoms:
Th 0.0000 0.0000 0.0000  12 Pd 3.07
Sb 0.5000 0.5000 0.5000  6 Pd 2.63
Pd 0.0597 0.5697 0.5697  1 Sb 2.63, 5 Pd 2.69-2.80
Pd 0.4303 0.4303 0.9403  1 Sb 2.63, 5 Pd 2.69-2.80
Pd 0.4303 0.9403 0.4303  1 Sb 2.63, 5 Pd 2.69-2.80
Pd 0.5697 0.0597 0.5697  1 Sb 2.63, 5 Pd 2.69-2.80
Pd 0.5697 0.5697 0.0597  1 Sb 2.63, 5 Pd 2.69-2.80
Pd 0.9403 0.4303 0.4303  1 Sb 2.63, 5 Pd 2.69-2.80

Computed properties:
E above lowest polymorph = 0.2922 eV/atom
ρ = 9.2 g/cm3
Energy relative to the elements, uncorrected = -361 meV/atom
Magnetization = 0.00 Bohr magnetons per cell